Crystalline YHfTlPb2 at its relaxed geometry, computed with GGA-PBE.

Results
Its formation energy is 0.996 eV per atom. As for the space group: No. 123.

The structure in extended XYZ format:
```
5
Lattice="-1.298 -2.956 -4.725 -2.931 -3.707 3.125 -4.722 3.160 -0.680" Properties=species:S:1:pos:R:3 pbc="T T T"
Tl -1.466 -1.853 1.562
Pb -2.361 1.580 -0.340
Y 0.000 0.000 0.000
Hf -4.476 -1.751 -1.140
Pb -0.649 -1.478 -2.362
```



Crystalline OsPt2Cl at its relaxed geometry, computed with GGA-PBE.

Results
The formation energy (no corrections) comes out at 0.549 eV/atom. The energy above the most stable polymorph in this dataset comes out at 249.7 meV/atom. As for the space group: No. 99.

The structure in extended XYZ format:
```
4
Lattice="-0.307 -2.066 -1.983 2.075 1.214 -1.586 5.601 -4.536 3.857" Properties=species:S:1:pos:R:3 pbc="T T T"
Cl 3.089 -2.502 2.127
Pt 2.043 -1.365 -0.986
Os 5.180 -3.905 1.174
Pt 5.458 -4.420 3.759
```



Crystalline Rb2Mg3Br8 at its relaxed geometry, computed with GGA-PBE.

Results
The formation energy (no corrections) comes out at -1.558 eV/atom. As for the space group: No. 12.

The structure in extended XYZ format:
```
13
Lattice="-1.861 -6.644 -1.179 6.324 -2.548 4.374 -6.993 3.706 4.769" Properties=species:S:1:pos:R:3 pbc="T T T"
Br -0.142 0.010 7.713
Br 0.607 -7.099 2.487
Mg 4.680 -1.885 3.236
Mg -0.931 -3.322 -0.589
Br 0.034 -2.705 1.838
Rb -2.629 -0.908 3.273
Br 3.439 -4.076 4.193
Rb 0.100 -4.578 4.690
Br -3.137 1.614 5.476
Br -2.563 -2.781 6.126
Mg 1.644 -0.662 1.137
Br -2.388 -5.496 0.251
Br -5.969 -1.409 3.771
```



Calculated density of states at the Fermi level in order - 3.515, 2.156, 0.000 states/eV/f.u.